(1)
# Nd2Er6Tm3 (PBE, optimized geometry)
data_Nd2Er6Tm3
_cell_length_a 6.052
_cell_length_b 10.497
_cell_length_c 11.622
_cell_angle_alpha 90.00
_cell_angle_beta 100.09
_cell_angle_gamma 90.00
_space_group_name_H-M_alt 'C 1 2/m 1'
_space_group_IT_number 12
_space_group_name_Hall '-C 2y'
loop_
_atom_site_label
_atom_site_type_symbol
_atom_site_fract_x
_atom_site_fract_y
_atom_site_fract_z
Nd1 Nd 0.000 0.167 0.000
Er1 Er 0.249 0.167 0.745
Er2 Er 0.249 0.500 0.746
Tm1 Tm 0.000 0.000 0.500
Tm2 Tm 0.000 0.335 0.500
# * DFT formation energy: 0.186 eV/atom
# * polymorph energy (0 for the lowest one): 0.00 kJ per mole of atoms
# * total moment: 0.00 μB per cell

(2)
# Nd12ErTm7 (PBE, optimized geometry)
data_Nd12ErTm7
_cell_length_a 12.2228
_cell_length_b 12.2228
_cell_length_c 15.6979
_cell_angle_alpha 90.00
_cell_angle_beta 90.00
_cell_angle_gamma 120.00
_space_group_name_H-M_alt 'R -3'
_space_group_IT_number 148
_space_group_name_Hall '-R 3'
loop_
_atom_site_label
_atom_site_type_symbol
_atom_site_fract_x
_atom_site_fract_y
_atom_site_fract_z
Nd1 Nd 0.0217 0.5732 0.2217
Nd2 Nd 0.0609 0.4695 0.5794
Er1 Er 0.0000 0.0000 0.5000
Tm1 Tm 0.0000 0.0000 0.0000
Tm2 Tm 0.0537 0.8673 0.3000
# * DFT formation energy: 0.231 eV/atom
# * total moment: 0.00 μB per cell

(3)
# NdEr4Tm (PBE, optimized geometry)
data_NdEr4Tm
_cell_length_a 9.249
_cell_length_b 9.249
_cell_length_c 9.249
_cell_angle_alpha 90.00
_cell_angle_beta 90.00
_cell_angle_gamma 90.00
_space_group_name_H-M_alt 'F -4 3 m'
_space_group_IT_number 216
_space_group_name_Hall 'F -4 2 3'
loop_
_atom_site_label
_atom_site_type_symbol
_atom_site_fract_x
_atom_site_fract_y
_atom_site_fract_z
Nd1 Nd 0.000 0.000 0.000
Er1 Er 0.125 0.125 0.375
Tm1 Tm 0.250 0.250 0.750
# * DFT formation energy: 0.275 eV/atom
# * polymorph energy (0 for the lowest one): 10.78 kJ per mole of atoms
# * total moment: 4.19 μB per cell

(4)
# Nd8Er3Tm (PBE, optimized geometry)
data_Nd8Er3Tm
_cell_length_a 7.041
_cell_length_b 11.985
_cell_length_c 9.874
_cell_angle_alpha 90.00
_cell_angle_beta 104.33
_cell_angle_gamma 90.00
_space_group_name_H-M_alt 'C 1 2/m 1'
_space_group_IT_number 12
_space_group_name_Hall '-C 2y'
loop_
_atom_site_label
_atom_site_type_symbol
_atom_site_fract_x
_atom_site_fract_y
_atom_site_fract_z
Nd1 Nd 0.069 0.249 0.334
Nd2 Nd 0.182 0.000 0.165
Nd3 Nd 0.182 0.500 0.167
Er1 Er 0.000 0.500 0.500
Er2 Er 0.250 0.250 0.000
Tm1 Tm 0.000 0.000 0.500
# * DFT formation energy: 0.113 eV/atom
# * total moment: 0.00 μB per cell

(5)
# Nd2Er3Tm3 (PBE, optimized geometry)
data_Nd2Er3Tm3
_cell_length_a 8.9951
_cell_length_b 8.9951
_cell_length_c 11.0317
_cell_angle_alpha 90.00
_cell_angle_beta 90.00
_cell_angle_gamma 120.00
_space_group_name_H-M_alt 'R 3 2'
_space_group_IT_number 155
_space_group_name_Hall 'R 3 2"'
loop_
_atom_site_label
_atom_site_type_symbol
_atom_site_fract_x
_atom_site_fract_y
_atom_site_fract_z
Nd1 Nd 0.0000 0.0000 0.2504
Er1 Er 0.0000 0.7492 0.0000
Tm1 Tm 0.0000 0.2490 0.5000
# * DFT formation energy: 0.234 eV/atom
# * polymorph energy (0 for the lowest one): 19.81 kJ per mole of atoms
# * total moment: 0.00 μB per cell

(6)
# NdEr7Tm3 (PBE, optimized geometry)
data_NdEr7Tm3
_cell_length_a 6.870
_cell_length_b 5.479
_cell_length_c 9.793
_cell_angle_alpha 90.00
_cell_angle_beta 109.07
_cell_angle_gamma 90.00
_space_group_name_H-M_alt 'P 1 2/m 1'
_space_group_IT_number 10
_space_group_name_Hall '-P 2y'
loop_
_atom_site_label
_atom_site_type_symbol
_atom_site_fract_x
_atom_site_fract_y
_atom_site_fract_z
Nd1 Nd 0.000 0.000 0.000
Er1 Er 0.000 0.000 0.500
Er2 Er 0.151 0.500 0.790
Er3 Er 0.325 0.500 0.143
Er4 Er 0.430 0.000 0.333
Tm1 Tm 0.275 0.500 0.494
Tm2 Tm 0.500 0.000 0.000
# * DFT formation energy: 0.153 eV/atom
# * polymorph energy (0 for the lowest one): 0.00 kJ per mole of atoms
# * total moment: 0.00 μB per cell

(7)
# NdEr5Tm6 (PBE, optimized geometry)
data_NdEr5Tm6
_cell_length_a 6.080
_cell_length_b 10.520
_cell_length_c 11.635
_cell_angle_alpha 90.00
_cell_angle_beta 100.02
_cell_angle_gamma 90.00
_space_group_name_H-M_alt 'C 1 2/m 1'
_space_group_IT_number 12
_space_group_name_Hall '-C 2y'
loop_
_atom_site_label
_atom_site_type_symbol
_atom_site_fract_x
_atom_site_fract_y
_atom_site_fract_z
Nd1 Nd 0.000 0.000 0.000
Er1 Er 0.000 0.167 0.500
Er2 Er 0.000 0.333 0.000
Er3 Er 0.000 0.500 0.500
Tm1 Tm 0.249 0.500 0.252
Tm2 Tm 0.250 0.167 0.252
# * DFT formation energy: 0.025 eV/atom
# * total moment: 0.00 μB per cell

(8)
# NdEr7Tm4 (PBE, optimized geometry)
data_NdEr7Tm4
_cell_length_a 11.974
_cell_length_b 5.796
_cell_length_c 12.489
_cell_angle_alpha 90.00
_cell_angle_beta 117.91
_cell_angle_gamma 90.00
_space_group_name_H-M_alt 'C 1 2/m 1'
_space_group_IT_number 12
_space_group_name_Hall '-C 2y'
loop_
_atom_site_label
_atom_site_type_symbol
_atom_site_fract_x
_atom_site_fract_y
_atom_site_fract_z
Nd1 Nd 0.000 0.000 0.000
Er1 Er 0.000 0.500 0.000
Er2 Er 0.057 0.000 0.332
Er3 Er 0.136 0.500 0.505
Er4 Er 0.211 0.000 0.922
Tm1 Tm 0.130 0.500 0.774
Tm2 Tm 0.247 0.500 0.314
# * DFT formation energy: 0.290 eV/atom
# * polymorph energy (0 for the lowest one): 28.13 kJ per mole of atoms
# * total moment: 0.00 μB per cell

(9)
# NdErTm (PBE, optimized geometry)
data_NdErTm
_cell_length_a 11.490
_cell_length_b 11.650
_cell_length_c 3.417
_cell_angle_alpha 90.00
_cell_angle_beta 90.00
_cell_angle_gamma 90.00
_space_group_name_H-M_alt 'C m m m'
_space_group_IT_number 65
_space_group_name_Hall '-C 2 2'
loop_
_atom_site_label
_atom_site_type_symbol
_atom_site_fract_x
_atom_site_fract_y
_atom_site_fract_z
Nd1 Nd 0.000 0.240 0.000
Er1 Er 0.000 0.000 0.500
Er2 Er 0.000 0.500 0.000
Tm1 Tm 0.238 0.500 0.500
# * DFT formation energy: 0.675 eV/atom
# * polymorph energy (0 for the lowest one): 63.88 kJ per mole of atoms
# * total moment: 0.01 μB per cell

(10)
# NdEr3Tm4 (PBE, optimized geometry)
data_NdEr3Tm4
_cell_length_a 5.574
_cell_length_b 25.976
_cell_length_c 3.522
_cell_angle_alpha 90.00
_cell_angle_beta 90.00
_cell_angle_gamma 90.00
_space_group_name_H-M_alt 'C m m m'
_space_group_IT_number 65
_space_group_name_Hall '-C 2 2'
loop_
_atom_site_label
_atom_site_type_symbol
_atom_site_fract_x
_atom_site_fract_y
_atom_site_fract_z
Nd1 Nd 0.000 0.000 0.000
Er1 Er 0.000 0.342 0.000
Er2 Er 0.000 0.500 0.500
Tm1 Tm 0.000 0.105 0.500
Tm2 Tm 0.000 0.224 0.500
# * DFT formation energy: 0.235 eV/atom
# * polymorph energy (0 for the lowest one): 22.35 kJ per mole of atoms
# * total moment: 0.00 μB per cell

(11)
# NdErTm6 (PBE, optimized geometry)
data_NdErTm6
_cell_length_a 6.701
_cell_length_b 11.583
_cell_length_c 6.502
_cell_angle_alpha 90.00
_cell_angle_beta 93.01
_cell_angle_gamma 90.00
_space_group_name_H-M_alt 'C 1 2/m 1'
_space_group_IT_number 12
_space_group_name_Hall '-C 2y'
loop_
_atom_site_label
_atom_site_type_symbol
_atom_site_fract_x
_atom_site_fract_y
_atom_site_fract_z
Nd1 Nd 0.000 0.000 0.000
Er1 Er 0.000 0.000 0.500
Tm1 Tm 0.049 0.500 0.253
Tm2 Tm 0.174 0.254 0.741
# * DFT formation energy: 0.232 eV/atom
# * total moment: 0.00 μB per cell

(12)
# Nd2Er4Tm3 (PBE, optimized geometry)
data_Nd2Er4Tm3
_cell_length_a 16.100
_cell_length_b 11.547
_cell_length_c 6.107
_cell_angle_alpha 90.00
_cell_angle_beta 96.13
_cell_angle_gamma 90.00
_space_group_name_H-M_alt 'C 1 2/c 1'
_space_group_IT_number 15
_space_group_name_Hall '-C 2yc'
loop_
_atom_site_label
_atom_site_type_symbol
_atom_site_fract_x
_atom_site_fract_y
_atom_site_fract_z
Nd1 Nd 0.122 0.146 0.322
Er1 Er 0.047 0.360 0.015
Er2 Er 0.216 0.139 0.848
Tm1 Tm 0.000 0.098 0.750
Tm2 Tm 0.165 0.402 0.595
# * DFT formation energy: 0.096 eV/atom
# * total moment: 0.00 μB per cell

(13)
# Nd3ErTm7 (PBE, optimized geometry)
data_Nd3ErTm7
_cell_length_a 6.909
_cell_length_b 5.463
_cell_length_c 9.933
_cell_angle_alpha 90.00
_cell_angle_beta 109.03
_cell_angle_gamma 90.00
_space_group_name_H-M_alt 'P 1 2/m 1'
_space_group_IT_number 10
_space_group_name_Hall '-P 2y'
loop_
_atom_site_label
_atom_site_type_symbol
_atom_site_fract_x
_atom_site_fract_y
_atom_site_fract_z
Nd1 Nd 0.000 0.000 0.000
Nd2 Nd 0.280 0.500 0.494
Er1 Er 0.500 0.000 0.000
Tm1 Tm 0.000 0.000 0.500
Tm2 Tm 0.152 0.500 0.789
Tm3 Tm 0.321 0.500 0.136
Tm4 Tm 0.429 0.000 0.329
# * DFT formation energy: 0.160 eV/atom
# * polymorph energy (0 for the lowest one): 0.00 kJ per mole of atoms
# * total moment: 0.00 μB per cell

(14)
# Nd3Er6Tm (PBE, optimized geometry)
data_Nd3Er6Tm
_cell_length_a 10.952
_cell_length_b 18.837
_cell_length_c 6.282
_cell_angle_alpha 90.00
_cell_angle_beta 90.00
_cell_angle_gamma 90.00
_space_group_name_H-M_alt 'C m c 21'
_space_group_IT_number 36
_space_group_name_Hall 'C 2c -2'
loop_
_atom_site_label
_atom_site_type_symbol
_atom_site_fract_x
_atom_site_fract_y
_atom_site_fract_z
Nd1 Nd 0.000 0.111 0.000
Nd2 Nd 0.174 0.388 0.605
Er1 Er 0.000 0.226 0.422
Er2 Er 0.000 0.458 0.179
Er3 Er 0.166 0.047 0.523
Er4 Er 0.243 0.210 0.698
Tm1 Tm 0.000 0.300 0.933
# * DFT formation energy: 0.152 eV/atom
# * polymorph energy (0 for the lowest one): 0.00 kJ per mole of atoms
# * total moment: 0.00 μB per cell

(15)
# Nd7Er16Tm6 (PBE, optimized geometry)
data_Nd7Er16Tm6
_cell_length_a 15.521
_cell_length_b 15.521
_cell_length_c 15.521
_cell_angle_alpha 90.00
_cell_angle_beta 90.00
_cell_angle_gamma 90.00
_space_group_name_H-M_alt 'F m -3 m'
_space_group_IT_number 225
_space_group_name_Hall '-F 4 2 3'
loop_
_atom_site_label
_atom_site_type_symbol
_atom_site_fract_x
_atom_site_fract_y
_atom_site_fract_z
Nd1 Nd 0.000 0.000 0.000
Nd2 Nd 0.000 0.250 0.250
Er1 Er 0.113 0.113 0.387
Er2 Er 0.150 0.150 0.150
Tm1 Tm 0.000 0.000 0.226
# * DFT formation energy: 0.193 eV/atom
# * total moment: 0.00 μB per cell

(16)
# Nd7ErTm3 (PBE, optimized geometry)
data_Nd7ErTm3
_cell_length_a 12.756
_cell_length_b 11.387
_cell_length_c 5.889
_cell_angle_alpha 90.00
_cell_angle_beta 117.45
_cell_angle_gamma 90.00
_space_group_name_H-M_alt 'C 1 2/m 1'
_space_group_IT_number 12
_space_group_name_Hall '-C 2y'
loop_
_atom_site_label
_atom_site_type_symbol
_atom_site_fract_x
_atom_site_fract_y
_atom_site_fract_z
Nd1 Nd 0.000 0.000 0.000
Nd2 Nd 0.191 0.288 0.691
Nd3 Nd 0.208 0.500 0.207
Er1 Er 0.000 0.000 0.500
Tm1 Tm 0.000 0.295 0.000
Tm2 Tm 0.000 0.500 0.500
# * DFT formation energy: 0.229 eV/atom
# * polymorph energy (0 for the lowest one): 4.29 kJ per mole of atoms
# * total moment: 0.00 μB per cell

(17)
# NdEr8Tm2 (PBE, optimized geometry)
data_NdEr8Tm2
_cell_length_a 9.200
_cell_length_b 16.975
_cell_length_c 5.873
_cell_angle_alpha 90.00
_cell_angle_beta 129.67
_cell_angle_gamma 90.00
_space_group_name_H-M_alt 'C 1 2/m 1'
_space_group_IT_number 12
_space_group_name_Hall '-C 2y'
loop_
_atom_site_label
_atom_site_type_symbol
_atom_site_fract_x
_atom_site_fract_y
_atom_site_fract_z
Nd1 Nd 0.000 0.000 0.000
Er1 Er 0.000 0.201 0.000
Er2 Er 0.001 0.500 0.742
Er3 Er 0.230 0.132 0.730
Tm1 Tm 0.000 0.312 0.500
# * DFT formation energy: 0.155 eV/atom
# * polymorph energy (0 for the lowest one): 5.31 kJ per mole of atoms
# * total moment: 0.00 μB per cell

(18)
# Nd5Er4Tm (PBE, optimized geometry)
data_Nd5Er4Tm
_cell_length_a 3.594
_cell_length_b 9.477
_cell_length_c 10.175
_cell_angle_alpha 74.22
_cell_angle_beta 89.95
_cell_angle_gamma 79.08
_space_group_name_H-M_alt 'P -1'
_space_group_IT_number 2
_space_group_name_Hall '-P 1'
loop_
_atom_site_label
_atom_site_type_symbol
_atom_site_fract_x
_atom_site_fract_y
_atom_site_fract_z
Nd1 Nd 0.000 0.000 0.000
Nd2 Nd 0.200 0.600 0.101
Nd3 Nd 0.400 0.199 0.694
Er1 Er 0.199 0.601 0.600
Er2 Er 0.400 0.201 0.205
Tm1 Tm 0.000 0.000 0.500
# * DFT formation energy: 0.020 eV/atom
# * polymorph energy (0 for the lowest one): 0.00 kJ per mole of atoms
# * total moment: 0.00 μB per cell

(19)
# NdEr4Tm (PBE, optimized geometry)
data_NdEr4Tm
_cell_length_a 8.754
_cell_length_b 14.811
_cell_length_c 6.490
_cell_angle_alpha 90.00
_cell_angle_beta 114.83
_cell_angle_gamma 90.00
_space_group_name_H-M_alt 'C 1 2/c 1'
_space_group_IT_number 15
_space_group_name_Hall '-C 2yc'
loop_
_atom_site_label
_atom_site_type_symbol
_atom_site_fract_x
_atom_site_fract_y
_atom_site_fract_z
Nd1 Nd 0.000 0.015 0.250
Er1 Er 0.088 0.204 0.549
Er2 Er 0.198 0.378 0.894
Tm1 Tm 0.000 0.414 0.250
# * DFT formation energy: 0.163 eV/atom
# * polymorph energy (0 for the lowest one): 0.00 kJ per mole of atoms
# * total moment: 0.00 μB per cell

(20)
# Nd2Er7Tm3 (PBE, optimized geometry)
data_Nd2Er7Tm3
_cell_length_a 5.637
_cell_length_b 37.402
_cell_length_c 3.586
_cell_angle_alpha 90.00
_cell_angle_beta 90.00
_cell_angle_gamma 90.00
_space_group_name_H-M_alt 'C m m m'
_space_group_IT_number 65
_space_group_name_Hall '-C 2 2'
loop_
_atom_site_label
_atom_site_type_symbol
_atom_site_fract_x
_atom_site_fract_y
_atom_site_fract_z
Nd1 Nd 0.000 0.147 0.000
Er1 Er 0.000 0.000 0.000
Er2 Er 0.000 0.070 0.500
Er3 Er 0.000 0.231 0.000
Er4 Er 0.000 0.411 0.000
Tm1 Tm 0.000 0.314 0.500
Tm2 Tm 0.000 0.500 0.500
# * DFT formation energy: 0.119 eV/atom
# * total moment: 0.00 μB per cell